No. 1
CdNiMo2P | PBE-GGA | optimized geometry

The value obtained for the total energy is -5.47 eV/atom. The value obtained for the density of states at the Fermi level is 5.19 states/eV per cell. Its formation energy is 1.284 eV/atom.

The structure belongs to space group P4/mmm (No. 123); the cell edges are 4.538, 4.538 and 4.702 Å and the angles 90.00°, 90.00° and 90.00°. The inequivalent atoms are Cd at (0.000, 0.000, 0.000), Ni at (0.000, 0.000, 0.500), Mo at (0.000, 0.500, 0.500) and P at (0.500, 0.500, 0.000).


No. 2
CdSiNi2Mo | PBE-GGA | optimized geometry

The value obtained for the total energy is -4.07 eV/atom. The value obtained for the density of states at the Fermi level is 3.81 states/eV per cell.

The structure belongs to space group P4/mmm (No. 123); the cell edges are 4.589, 4.589 and 4.618 Å and the angles 90.00°, 90.00° and 90.00°. The inequivalent atoms are Cd at (0.000, 0.000, 0.000), Si at (0.000, 0.000, 0.500), Ni at (0.000, 0.500, 0.000) and Mo at (0.500, 0.500, 0.500).


No. 3
ZrCdNi2Mo | PBE-GGA | optimized geometry

The value obtained for the total energy is -4.74 eV/atom. The value obtained for the density of states at the Fermi level is 4.02 states/eV per cell. Its formation energy is 1.635 eV/atom.

The structure belongs to space group P4/mmm (No. 123); the cell edges are 4.437, 4.437 and 5.233 Å and the angles 90.00°, 90.00° and 90.00°. The inequivalent atoms are Zr at (0.000, 0.000, 0.000), Cd at (0.000, 0.000, 0.500), Ni at (0.000, 0.500, 0.000) and Mo at (0.500, 0.500, 0.500).